Density functional theory data (PBE) for an optimized crystal structure of SrH6IrPd.

The structure belongs to space group P312 (No. 149); the cell edges are 4.9625, 4.9625 and 4.4612 Å and the angles 90.00°, 90.00° and 120.00°. The inequivalent atoms are Sr at (0.0000, 0.0000, 0.0000), H at (0.4951, 0.0283, 0.7423), Ir at (0.6667, 0.3333, 0.5000) and Pd at (0.3333, 0.6667, 0.5000).

As for the total energy: -38.2 eV/cell.

---

Density functional theory data (PBE) for an optimized crystal structure of Sr2H6IrPd.

The structure belongs to space group I4/mmm (No. 139); the cell edges are 5.408, 5.408 and 7.756 Å and the angles 90.00°, 90.00° and 90.00°. The inequivalent atoms are Sr at (0.000, 0.500, 0.250), H at (0.000, 0.000, 0.227), H at (0.232, 0.232, 0.000), Ir at (0.000, 0.000, 0.000) and Pd at (0.000, 0.000, 0.500).

As for the total energy: -86.4 eV/cell.

---

Density functional theory data (PBE) for an optimized crystal structure of TbH4IrPd2.

The structure belongs to space group P1 (No. 1); the cell edges are 4.449, 4.452 and 5.192 Å and the angles 113.69°, 113.91° and 93.25°. The inequivalent atoms are Tb at (0.000, 0.000, 0.000), H at (0.109, 0.545, 0.094), H at (0.415, 0.432, 0.577), H at (0.453, 0.015, 0.907), H at (0.861, 0.847, 0.421), Ir at (0.256, 0.754, 0.500), Pd at (0.499, 0.498, 0.000) and Pd at (0.753, 0.256, 0.501).

As for the total energy: -40.4 eV/cell.

---

Question: Number 2 is which compound?
Answer: Sr2H6IrPd